Compound: MoWCl2
Source: Alexandria via LeMat-Bulk
Functional: PBE
Structure: optimized geometry

Calculated values
The calculation puts the total magnetic moment at 0.00 μB per cell. For the excess energy over the best structure of this formula in the dataset, the calculation gives 399.4 meV/atom. The energy comes out at -6.72 eV per atom.

a = 3.2047 Å, b = 5.3712 Å, c = 9.7209 Å
α = 90.00°, β = 90.00°, γ = 90.00°
With the nearest neighbours (Å) after each atom.
Sites, in units of the cell vectors:
1 Mo 0.0000 0.0000 0.0000  2 W 2.50, 2 Cl 2.56
2 Mo 0.5000 0.5000 0.0000  2 W 2.50, 2 Cl 2.56
3 W 0.0000 0.5000 0.8026  2 Mo 2.50, 2 Cl 2.58
4 W 0.5000 0.0000 0.8026  2 Mo 2.50, 2 Cl 2.58
5 Cl 0.0000 0.0000 0.5946  2 W 2.58
6 Cl 0.0000 0.5000 0.2060  2 Mo 2.56
7 Cl 0.5000 0.0000 0.2060  2 Mo 2.56
8 Cl 0.5000 0.5000 0.5946  2 W 2.58



Compound: MoW2Cl
Source: Alexandria via LeMat-Bulk
Functional: PBE
Structure: optimized geometry

Calculated values
The calculation puts the total magnetic moment at 0.00 μB per cell. For the excess energy over the best structure of this formula in the dataset, the calculation gives 744.0 meV/atom. The energy comes out at -8.54 eV per atom.

a = 6.3831 Å, b = 6.3831 Å, c = 6.3831 Å
α = 90.00°, β = 90.00°, γ = 90.00°
With the nearest neighbours (Å) after each atom.
Sites, in units of the cell vectors:
1 Mo 0.0000 0.0000 0.0000  4 Cl 2.76, 4 W 2.76
2 Mo 0.0000 0.5000 0.5000  4 Cl 2.76, 4 W 2.76
3 Mo 0.5000 0.0000 0.5000  4 Cl 2.76, 4 W 2.76
4 Mo 0.5000 0.5000 0.0000  4 Cl 2.76, 4 W 2.76
5 W 0.0000 0.0000 0.5000  4 W 2.76, 4 Cl 2.76
6 W 0.0000 0.5000 0.0000  4 W 2.76, 4 Cl 2.76
7 W 0.2500 0.2500 0.7500  4 Mo 2.76, 4 W 2.76
8 W 0.2500 0.7500 0.2500  4 Mo 2.76, 4 W 2.76
9 W 0.5000 0.0000 0.0000  4 W 2.76, 4 Cl 2.76
10 W 0.5000 0.5000 0.5000  4 W 2.76, 4 Cl 2.76
11 W 0.7500 0.2500 0.2500  4 Mo 2.76, 4 W 2.76
12 W 0.7500 0.7500 0.7500  4 Mo 2.76, 4 W 2.76
13 Cl 0.2500 0.2500 0.2500  4 W 2.76, 4 Mo 2.76
14 Cl 0.2500 0.7500 0.7500  4 W 2.76, 4 Mo 2.76
15 Cl 0.7500 0.2500 0.7500  4 W 2.76, 4 Mo 2.76
16 Cl 0.7500 0.7500 0.2500  4 W 2.76, 4 Mo 2.76



Look up the excess energy over the best structure of this formula in the dataset of the first one. 399.4 meV/atom



What did the second record say?
Compound: MoW2Cl
Source: Alexandria via LeMat-Bulk
Functional: PBE
Structure: optimized geometry

Calculated values
The calculation puts the total magnetic moment at 0.00 μB per cell. For the excess energy over the best structure of this formula in the dataset, the calculation gives 744.0 meV/atom. The energy comes out at -8.54 eV per atom.

a = 6.3831 Å, b = 6.3831 Å, c = 6.3831 Å
α = 90.00°, β = 90.00°, γ = 90.00°
With the nearest neighbours (Å) after each atom.
Sites, in units of the cell vectors:
1 Mo 0.0000 0.0000 0.0000  4 Cl 2.76, 4 W 2.76
2 Mo 0.0000 0.5000 0.5000  4 Cl 2.76, 4 W 2.76
3 Mo 0.5000 0.0000 0.5000  4 Cl 2.76, 4 W 2.76
4 Mo 0.5000 0.5000 0.0000  4 Cl 2.76, 4 W 2.76
5 W 0.0000 0.0000 0.5000  4 W 2.76, 4 Cl 2.76
6 W 0.0000 0.5000 0.0000  4 W 2.76, 4 Cl 2.76
7 W 0.2500 0.2500 0.7500  4 Mo 2.76, 4 W 2.76
8 W 0.2500 0.7500 0.2500  4 Mo 2.76, 4 W 2.76
9 W 0.5000 0.0000 0.0000  4 W 2.76, 4 Cl 2.76
10 W 0.5000 0.5000 0.5000  4 W 2.76, 4 Cl 2.76
11 W 0.7500 0.2500 0.2500  4 Mo 2.76, 4 W 2.76
12 W 0.7500 0.7500 0.7500  4 Mo 2.76, 4 W 2.76
13 Cl 0.2500 0.2500 0.2500  4 W 2.76, 4 Mo 2.76
14 Cl 0.2500 0.7500 0.7500  4 W 2.76, 4 Mo 2.76
15 Cl 0.7500 0.2500 0.7500  4 W 2.76, 4 Mo 2.76
16 Cl 0.7500 0.7500 0.2500  4 W 2.76, 4 Mo 2.76